Crystalline V6O7F5 at its relaxed geometry, computed with PBE+U.

Cell: 4.6558 5.6251 7.8045 Å, 86.31 88.78 89.02°
Closest atoms and distances in Å follow each position.
Space group P1 (No. 1)
One atom of each set of equivalent atoms:
V 0.0000 0.0000 0.0000  4 O 2.00-2.07, 2 F 2.06-2.07
V 0.0017 0.6697 0.3307  2 O 1.93-2.02, 4 F 1.99-2.05
V 0.4901 0.1635 0.3238  4 O 1.98-2.09, 2 F 2.07-2.08
V 0.4995 0.8472 0.6861  4 O 1.92-2.10, 2 F 2.11-2.13
V 0.5206 0.4896 0.9728  3 O 1.92-2.00, 3 F 2.04-2.14
V 0.9723 0.3087 0.6441  4 O 1.88-1.92
O 0.1834 0.9562 0.2343  3 V 1.93-2.03
O 0.2914 0.1387 0.5625  3 V 1.88-2.08
O 0.3030 0.7890 0.9033  3 V 1.92-2.00
O 0.6862 0.2029 0.0967  3 V 1.98-2.00
O 0.7183 0.5267 0.7539  3 V 1.92-2.10
O 0.8035 0.3712 0.4262  3 V 1.90-2.09
O 0.8064 0.0374 0.7631  3 V 1.90-2.07
F 0.1975 0.2950 0.8839  3 V 2.04-2.16
F 0.2094 0.6309 0.5603  3 V 2.05-2.19
F 0.2920 0.4677 0.2145  3 V 1.99-2.14
F 0.6882 0.8612 0.4376  3 V 2.00-2.11
F 0.7943 0.6977 0.1004  3 V 2.05-2.07

Output
polymorph energy (0 for the lowest one)	17.8	meV per atom